[1]
First-principles (PBE-GGA) data for a relaxed structure of Sr3CdPt8, as listed in Alexandria via LeMat-Bulk.

Lattice parameters (Å, degrees): 5.5224 5.5224 26.9731 90.00 90.00 120.00
Last column: nearest neighbours and their distance in Å.
Space group R3m (No. 160, hexagonal axes)
Asymmetric unit:
Sr 0.0000 0.0000 0.0000 x3  12 Pt 3.24-3.26, 4 Sr 3.42-3.44
Sr 0.0000 0.0000 0.1276 x3  12 Pt 3.14-3.26, 3 Cd 3.35, 1 Sr 3.44
Sr 0.0000 0.0000 0.6210 x3  12 Pt 3.20-3.36, 1 Cd 3.28, 3 Sr 3.42
Cd 0.0000 0.0000 0.4993 x3  12 Pt 3.18-3.23, 4 Sr 3.28-3.35
Pt 0.0000 0.0000 0.3122 x3  6 Pt 2.78
Pt 0.0000 0.0000 0.8129 x3  6 Pt 2.72-2.75
Pt 0.0031 0.5016 0.0636 x9  6 Pt 2.74-2.79
Pt 0.1672 0.3345 0.8945 x9  6 Pt 2.72-2.78

Calculated values
DOS(E_F) = 24.686 states/eV per cell
uncorrected energy = -189.555 eV/cell
total moment = 0.00 μB/atom
formation energy from the elements = -17.1 kcal/mol of atoms

***

[2]
First-principles (PBE-GGA) data for a relaxed structure of SrCd2Pt9, as listed in Alexandria via LeMat-Bulk.

Lattice parameters (Å, degrees): 5.4471 5.4471 26.0286 90.00 90.00 120.00
Last column: nearest neighbours and their distance in Å.
Space group R-3m (No. 166, hexagonal axes)
Asymmetric unit:
Sr 0.0000 0.0000 0.0000 x3  18 Pt 3.14-3.51
Cd 0.0000 0.0000 0.1450 x6  12 Pt 3.10-3.20, 3 Cd 3.34
Pt 0.0000 0.0000 0.3334 x6  6 Pt 2.71-2.73
Pt 0.0000 0.0000 0.5000 x3  6 Pt 2.65
Pt 0.0046 0.5023 0.9147 x18  7 Pt 2.65-2.76

Calculated values
DOS(E_F) = 34.792 states/eV per cell
uncorrected energy = -186.521 eV/cell
total moment = 0.00 μB/atom
formation energy from the elements = -8.3 kcal/mol of atoms

***

[3]
First-principles (PBE-GGA) data for a relaxed structure of Sr2Cd4Pt, as listed in Alexandria via LeMat-Bulk.

Lattice parameters (Å, degrees): 5.2075 5.2075 16.9291 90.00 90.00 90.00
Last column: nearest neighbours and their distance in Å.
Space group I4/mmm (No. 139)
Asymmetric unit:
Sr 0.0000 0.0000 0.1442 x4  9 Cd 3.31-3.69
Cd 0.0000 0.0000 0.3400 x4  1 Pt 2.71
Cd 0.0000 0.5000 0.0000 x4  2 Pt 2.60
Pt 0.0000 0.0000 0.5000 x2  6 Cd 2.60-2.71

Calculated values
DOS(E_F) = 10.951 states/eV per cell
uncorrected energy = -29.132 eV/cell
total moment = 0.00 μB/atom
formation energy from the elements = -4.9 kcal/mol of atoms

***

[4]
First-principles (PBE-GGA) data for a relaxed structure of SrCd9Pt3, as listed in Alexandria via LeMat-Bulk.

Lattice parameters (Å, degrees): 5.7028 14.0809 7.4527 90.00 112.25 90.00
Last column: nearest neighbours and their distance in Å.
Space group C2/m (No. 12)
Asymmetric unit:
Sr 0.0000 0.0000 0.0000 x2  14 Cd 3.38-3.74, 2 Pt 3.73
Cd 0.0000 0.5000 0.5000 x2  2 Pt 2.85, 8 Cd 2.89-3.09
Cd 0.1129 0.3880 0.2173 x8  3 Pt 2.82-2.88, 5 Cd 2.89-3.15
Cd 0.1588 0.1749 0.3365 x8  3 Pt 2.90-3.03, 6 Cd 3.03-3.20
Pt 0.0000 0.0000 0.5000 x2  10 Cd 2.85-3.03
Pt 0.2500 0.2500 0.0000 x4  8 Cd 2.82-2.94, 2 Pt 2.85

Calculated values
DOS(E_F) = 9.588 states/eV per cell
uncorrected energy = -64.158 eV/cell
total moment = 0.00 μB/atom
formation energy from the elements = -7.2 kcal/mol of atoms

***

[5]
First-principles (PBE-GGA) data for a relaxed structure of SrCd12Pt4, as listed in Alexandria via LeMat-Bulk.

Lattice parameters (Å, degrees): 9.5799 9.5799 9.5799 90.00 90.00 90.00
Last column: nearest neighbours and their distance in Å.
Space group Im-3 (No. 204)
Asymmetric unit:
Sr 0.0000 0.0000 0.0000 x2  12 Cd 3.66
Cd 0.0000 0.1634 0.3454 x24  2 Pt 2.69, 1 Cd 2.96
Pt 0.2500 0.2500 0.2500 x8  6 Cd 2.69

Calculated values
DOS(E_F) = 18.781 states/eV per cell
uncorrected energy = -76.813 eV/cell
total moment = 0.00 μB/atom
formation energy from the elements = -2.1 kcal/mol of atoms

***

[6]
First-principles (PBE-GGA) data for a relaxed structure of SrCd3Pt, as listed in Alexandria via LeMat-Bulk.

Lattice parameters (Å, degrees): 7.2681 4.5136 7.9868 90.00 105.96 90.00
Last column: nearest neighbours and their distance in Å.
Space group P2_1/m (No. 11)
Asymmetric unit:
Sr 0.2052 0.2500 0.1842 x2  2 Pt 3.16, 5 Cd 3.44-3.50
Cd 0.0818 0.2500 0.6485 x2  1 Pt 2.77, 1 Cd 2.99
Cd 0.3352 0.7500 0.9013 x2  3 Pt 2.77-2.90, 1 Cd 3.05
Cd 0.3394 0.7500 0.5211 x2  3 Pt 2.80-2.89, 2 Cd 2.99-3.05
Pt 0.4780 0.2500 0.7455 x2  7 Cd 2.77-2.90

Calculated values
DOS(E_F) = 4.727 states/eV per cell
uncorrected energy = -25.035 eV/cell
total moment = 0.00 μB/atom
formation energy from the elements = -9.5 kcal/mol of atoms
energy above the lowest structure with this stoichiometry = 13 meV/atom

***

[7]
First-principles (PBE-GGA) data for a relaxed structure of Sr2Cd2Pt, as listed in Alexandria via LeMat-Bulk.

Lattice parameters (Å, degrees): 7.4856 7.4856 5.1101 90.00 90.00 90.00
Last column: nearest neighbours and their distance in Å.
Space group P4/mbm (No. 127)
Asymmetric unit:
Sr 0.1817 0.3183 0.0000 x4  6 Cd 3.21-3.50
Cd 0.1355 0.6355 0.5000 x4  1 Cd 2.87, 2 Pt 2.91, 2 Sr 3.21
Pt 0.0000 0.0000 0.5000 x2  4 Cd 2.91

Calculated values
DOS(E_F) = 6.756 states/eV per cell
uncorrected energy = -25.578 eV/cell
total moment = 0.00 μB/atom
formation energy from the elements = -7.2 kcal/mol of atoms
energy above the lowest structure with this stoichiometry = 225 meV/atom

***

[8]
First-principles (PBE-GGA) data for a relaxed structure of Sr2Cd3Pt2, as listed in Alexandria via LeMat-Bulk.

Lattice parameters (Å, degrees): 10.7797 4.4877 7.7508 90.00 112.38 90.00
Last column: nearest neighbours and their distance in Å.
Space group C2/m (No. 12)
Asymmetric unit:
Sr 0.1428 0.0000 0.2822 x4  4 Pt 3.12-3.28, 3 Cd 3.44-3.45
Cd 0.0000 0.5000 0.5000 x2  4 Pt 2.84, 2 Cd 3.16
Cd 0.1354 0.5000 0.9410 x4  3 Pt 2.87-2.91, 3 Cd 3.16-3.20
Pt 0.1429 0.0000 0.7061 x4  5 Cd 2.84-2.91, 1 Sr 3.12

Calculated values
DOS(E_F) = 6.379 states/eV per cell
uncorrected energy = -44.644 eV/cell
total moment = 0.00 μB/atom
formation energy from the elements = -13.6 kcal/mol of atoms

***

[9]
First-principles (PBE-GGA) data for a relaxed structure of Sr2CdPt, as listed in Alexandria via LeMat-Bulk.

Lattice parameters (Å, degrees): 6.4133 4.5783 8.9278 90.00 109.54 90.00
Last column: nearest neighbours and their distance in Å.
Space group P2_1/m (No. 11)
Asymmetric unit:
Sr 0.1855 0.2500 0.4170 x2  3 Pt 3.24-3.36, 4 Cd 3.33-3.47
Sr 0.2642 0.7500 0.0593 x2  4 Pt 3.26-3.54, 3 Cd 3.33-3.42
Cd 0.3653 0.7500 0.7172 x2  2 Pt 2.84
Pt 0.1504 0.2500 0.7837 x2  2 Cd 2.84

Calculated values
DOS(E_F) = 4.796 states/eV per cell
uncorrected energy = -25.377 eV/cell
total moment = 0.00 μB/atom
formation energy from the elements = -13.7 kcal/mol of atoms

***

[10]
First-principles (PBE-GGA) data for a relaxed structure of SrCd4Pt, as listed in Alexandria via LeMat-Bulk.

Lattice parameters (Å, degrees): 8.9543 4.3103 7.6236 90.00 90.00 90.00
Last column: nearest neighbours and their distance in Å.
Space group Pmma (No. 51)
Asymmetric unit:
Sr 0.2500 0.0000 0.0985 x2  1 Pt 3.02
Cd 0.0000 0.0000 0.5000 x2  2 Pt 2.72
Cd 0.0564 0.5000 0.8073 x4  2 Pt 2.88, 3 Cd 3.11-3.22
Cd 0.2500 0.5000 0.4469 x2  2 Pt 2.91, 6 Cd 3.13-3.25
Pt 0.2500 0.0000 0.7025 x2  8 Cd 2.72-2.91, 1 Sr 3.02

Calculated values
DOS(E_F) = 4.551 states/eV per cell
uncorrected energy = -27.275 eV/cell
total moment = 0.00 μB/atom
formation energy from the elements = -8.7 kcal/mol of atoms
energy above the lowest structure with this stoichiometry = 0 meV/atom

***

[11]
First-principles (PBE-GGA) data for a relaxed structure of Sr4Cd3Pt, as listed in Alexandria via LeMat-Bulk.

Lattice parameters (Å, degrees): 3.9147 3.9147 16.1422 90.00 90.00 90.00
Last column: nearest neighbours and their distance in Å.
Space group P4/mmm (No. 123)
Asymmetric unit:
Sr 0.0000 0.0000 0.1065 x2  4 Pt 3.26, 1 Sr 3.44, 4 Cd 3.51
Sr 0.0000 0.0000 0.3695 x2  8 Cd 3.47-3.48
Cd 0.5000 0.5000 0.2400 x2  8 Sr 3.47-3.51, 1 Pt 3.87
Cd 0.5000 0.5000 0.5000 x1  8 Sr 3.48
Pt 0.5000 0.5000 0.0000 x1  8 Sr 3.26

Calculated values
DOS(E_F) = 4.961 states/eV per cell
uncorrected energy = -18.965 eV/cell
total moment = 0.00 μB/atom
formation energy from the elements = -9.9 kcal/mol of atoms

***

[12]
First-principles (PBE-GGA) data for a relaxed structure of SrCd4Pt, as listed in Alexandria via LeMat-Bulk.

Lattice parameters (Å, degrees): 4.4988 16.9281 7.8208 90.00 90.00 90.00
Last column: nearest neighbours and their distance in Å.
Space group Cmcm (No. 63)
Asymmetric unit:
Sr 0.0000 0.1282 0.2500 x4  2 Pt 3.21, 7 Cd 3.38-3.55
Cd 0.0000 0.0714 0.7500 x4  1 Pt 2.80
Cd 0.0000 0.3184 0.0584 x8  3 Pt 2.78-2.86, 2 Cd 3.00-3.11
Cd 0.0000 0.5000 0.0000 x4  6 Cd 3.11-3.22
Pt 0.0000 0.2369 0.7500 x4  7 Cd 2.78-2.86

Calculated values
DOS(E_F) = 11.012 states/eV per cell
uncorrected energy = -54.220 eV/cell
total moment = 0.00 μB/atom
formation energy from the elements = -8.3 kcal/mol of atoms
energy above the lowest structure with this stoichiometry = 14 meV/atom

***

[13]
First-principles (PBE-GGA) data for a relaxed structure of Sr2CdPt, as listed in Alexandria via LeMat-Bulk.

Lattice parameters (Å, degrees): 3.8077 5.1238 12.5435 90.00 90.00 90.00
Last column: nearest neighbours and their distance in Å.
Space group Imm2 (No. 44)
Asymmetric unit:
Sr 0.0000 0.0000 0.0000 x2  2 Pt 3.22, 4 Cd 3.53
Sr 0.0000 0.5000 0.2047 x2  4 Pt 3.19, 2 Cd 3.38
Cd 0.0000 0.0000 0.3806 x2  2 Pt 2.89
Pt 0.0000 0.5000 0.7069 x2  2 Cd 2.89, 6 Sr 3.19-3.22

Calculated values
DOS(E_F) = 5.376 states/eV per cell
uncorrected energy = -24.317 eV/cell
total moment = 0.00 μB/atom
formation energy from the elements = -10.6 kcal/mol of atoms

***

[14]
First-principles (PBE-GGA) data for a relaxed structure of Sr4Cd3Pt2, as listed in Alexandria via LeMat-Bulk.

Lattice parameters (Å, degrees): 16.8716 4.5302 7.6225 90.00 109.64 90.00
Last column: nearest neighbours and their distance in Å.
Space group C2/m (No. 12)
Asymmetric unit:
Sr 0.0694 0.0000 0.3413 x4  2 Pt 3.07-3.23, 2 Cd 3.35
Sr 0.2293 0.5000 0.1829 x4  3 Pt 3.16-3.25, 1 Cd 3.51
Cd 0.0000 0.5000 0.0000 x2  4 Pt 3.00, 2 Cd 3.15, 4 Sr 3.35
Cd 0.0988 0.5000 0.7146 x4  2 Pt 2.88, 1 Cd 3.15
Pt 0.1074 0.0000 0.9531 x4  4 Cd 2.88-3.00, 3 Sr 3.07-3.16

Calculated values
DOS(E_F) = 9.955 states/eV per cell
uncorrected energy = -52.496 eV/cell
total moment = 0.00 μB/atom
formation energy from the elements = -12.0 kcal/mol of atoms

***

[15]
First-principles (PBE-GGA) data for a relaxed structure of Sr3Cd4Pt4, as listed in Alexandria via LeMat-Bulk.

Lattice parameters (Å, degrees): 8.3626 8.3626 8.3626 90.00 90.00 90.00
Last column: nearest neighbours and their distance in Å.
Space group I-43m (No. 217)
Asymmetric unit:
Sr 0.0000 0.0000 0.5000 x6  4 Pt 3.43, 4 Cd 3.45
Cd 0.1305 0.1305 0.8695 x8  4 Pt 2.61-2.76
Pt 0.1892 0.1892 0.1892 x8  4 Cd 2.61-2.76

Calculated values
DOS(E_F) = 13.790 states/eV per cell
uncorrected energy = -75.604 eV/cell
total moment = 0.00 μB/atom
formation energy from the elements = -10.3 kcal/mol of atoms
energy above the lowest structure with this stoichiometry = 182 meV/atom

***

[16]
First-principles (PBE-GGA) data for a relaxed structure of Sr3Cd4Pt4, as listed in Alexandria via LeMat-Bulk.

Lattice parameters (Å, degrees): 4.4736 7.9097 15.0087 90.00 90.00 90.00
Last column: nearest neighbours and their distance in Å.
Space group Immm (No. 71)
Asymmetric unit:
Sr 0.0000 0.0000 0.0000 x2  6 Pt 3.30-3.42
Sr 0.0000 0.5000 0.1227 x4  6 Pt 3.20-3.25, 6 Cd 3.37-3.45
Cd 0.0000 0.3041 0.3280 x8  4 Pt 2.78-2.90, 1 Cd 3.10
Pt 0.0000 0.0000 0.2200 x4  6 Cd 2.81-2.90
Pt 0.0000 0.1730 0.5000 x4  1 Pt 2.74, 2 Cd 2.78

Calculated values
DOS(E_F) = 6.857 states/eV per cell
uncorrected energy = -79.598 eV/cell
total moment = 0.00 μB/atom
formation energy from the elements = -14.5 kcal/mol of atoms
energy above the lowest structure with this stoichiometry = 0 meV/atom

***

[17]
First-principles (PBE-GGA) data for a relaxed structure of SrCd3Pt, as listed in Alexandria via LeMat-Bulk.

Lattice parameters (Å, degrees): 6.0831 6.0831 6.0831 90.00 90.00 90.00
Last column: nearest neighbours and their distance in Å.
Space group Pm-3m (No. 221)
Asymmetric unit:
Sr 0.0000 0.0000 0.0000 x1  6 Cd 3.04
Cd 0.0000 0.0000 0.5000 x3  2 Sr 3.04
Pt 0.5000 0.5000 0.5000 x1  12 Cd 4.30

Calculated values
DOS(E_F) = 18.212 states/eV per cell
uncorrected energy = -4.606 eV/cell
total moment = 0.03 μB/atom
formation energy from the elements = 27.0 kcal/mol of atoms
energy above the lowest structure with this stoichiometry = 1595 meV/atom

***

[18]
First-principles (PBE-GGA) data for a relaxed structure of SrCd8Pt4, as listed in Alexandria via LeMat-Bulk.

Lattice parameters (Å, degrees): 9.6715 9.6715 5.7531 90.00 90.00 90.00
Last column: nearest neighbours and their distance in Å.
Space group I4/mmm (No. 139)
Asymmetric unit:
Sr 0.0000 0.0000 0.0000 x2  12 Cd 3.28-3.59
Cd 0.0000 0.2213 0.5000 x8  4 Pt 2.83, 6 Cd 3.03-3.11
Cd 0.0000 0.3396 0.0000 x8  4 Pt 2.94, 5 Cd 3.10-3.11, 1 Sr 3.28
Pt 0.2500 0.2500 0.2500 x8  8 Cd 2.83-2.94, 2 Pt 2.88

Calculated values
DOS(E_F) = 10.380 states/eV per cell
uncorrected energy = -76.186 eV/cell
total moment = 0.00 μB/atom
formation energy from the elements = -8.7 kcal/mol of atoms

***

[19]
First-principles (PBE-GGA) data for a relaxed structure of Sr2CdPt, as listed in Alexandria via LeMat-Bulk.

Lattice parameters (Å, degrees): 4.5706 4.6040 6.2919 90.00 111.19 90.00
Last column: nearest neighbours and their distance in Å.
Space group Pm (No. 6)
Asymmetric unit:
Sr 0.0000 0.0000 0.0000 x1  3 Pt 3.32-3.43, 4 Cd 3.37-3.38
Sr 0.2838 0.5000 0.5681 x1  3 Cd 3.31-3.47, 4 Pt 3.34
Cd 0.5796 0.5000 0.1588 x1  2 Pt 2.81
Pt 0.7170 0.0000 0.4342 x1  2 Cd 2.81

Calculated values
DOS(E_F) = 2.127 states/eV per cell
uncorrected energy = -12.615 eV/cell
total moment = 0.00 μB/atom
formation energy from the elements = -13.2 kcal/mol of atoms

***

[20]
First-principles (PBE-GGA) data for a relaxed structure of Sr6CdPt2, as listed in Alexandria via LeMat-Bulk.

Lattice parameters (Å, degrees): 10.2988 10.6969 11.6169 90.00 90.00 90.00
Last column: nearest neighbours and their distance in Å.
Space group Immm (No. 71)
Asymmetric unit:
Sr 0.0000 0.1984 0.2410 x8  1 Pt 3.04
Sr 0.1769 0.5000 0.1595 x8  3 Pt 3.07-3.30
Sr 0.2102 0.3254 0.5000 x8  3 Pt 3.22-3.32, 1 Cd 3.52
Cd 0.0000 0.0000 0.0000 x2  2 Pt 3.31, 8 Sr 3.51-3.52
Cd 0.0000 0.0000 0.5000 x2  12 Sr 3.68-4.10
Pt 0.0000 0.3098 0.0000 x4  8 Sr 3.04-3.32, 1 Cd 3.31
Pt 0.0000 0.5000 0.3728 x4  1 Pt 2.96, 6 Sr 3.07-3.22

Calculated values
DOS(E_F) = 26.866 states/eV per cell
uncorrected energy = -110.846 eV/cell
total moment = 0.00 μB/atom
formation energy from the elements = -11.8 kcal/mol of atoms